No. 1
Material: Pm4MgTl
Method: DFT, PBE
State: optimized geometry

Unit cell a=9.2820 b=5.2113 c=9.3894 alpha=90.00 beta=111.30 gamma=90.00
With the nearest neighbours (Å) after each atom.
Space group C2/m (No. 12)
One atom of each set of equivalent atoms:
Pm 0.1219 0.0000 0.3714 (multiplicity 4)  3 Tl 3.24-3.27, 1 Mg 3.25
Pm 0.1268 0.5000 0.8751 (multiplicity 4)  3 Mg 3.23-3.25, 1 Tl 3.28
Mg 0.0000 0.0000 0.0000 (multiplicity 2)  8 Pm 3.23-3.25
Tl 0.0000 0.5000 0.5000 (multiplicity 2)  8 Pm 3.24-3.28

## Properties
DFT total energy in eV per atom: -3.668
Calculated volume in Å³ per cell: 423.1

***

No. 2
Material: PmMgTl6
Method: DFT, PBE
State: optimized geometry

Unit cell a=9.2974 b=10.1073 c=4.7807 alpha=90.00 beta=90.00 gamma=90.00
With the nearest neighbours (Å) after each atom.
Space group Cmmm (No. 65)
One atom of each set of equivalent atoms:
Pm 0.0000 0.0000 0.0000 (multiplicity 2)  12 Tl 3.40-3.46
Mg 0.0000 0.5000 0.0000 (multiplicity 2)  12 Tl 3.22-3.55
Tl 0.0000 0.2398 0.5000 (multiplicity 4)  8 Tl 3.34-3.48, 2 Pm 3.40, 2 Mg 3.55
Tl 0.2317 0.5000 0.5000 (multiplicity 4)  2 Mg 3.22, 8 Tl 3.40-3.48, 2 Pm 3.46
Tl 0.2500 0.2500 0.0000 (multiplicity 4)  8 Tl 3.34-3.48, 2 Mg 3.43, 2 Pm 3.43

## Properties
DFT total energy in eV per atom: -2.659
Calculated volume in Å³ per cell: 449.2

***

No. 3
Material: Pm8Mg2Tl
Method: DFT, PBE
State: optimized geometry

Unit cell a=17.6421 b=5.0138 c=8.1918 alpha=90.00 beta=109.55 gamma=90.00
With the nearest neighbours (Å) after each atom.
Space group C2/m (No. 12)
One atom of each set of equivalent atoms:
Pm 0.0544 0.0000 0.2250 (multiplicity 4)  1 Mg 3.38, 9 Pm 3.41-3.66, 2 Tl 3.70
Pm 0.0916 0.5000 0.9449 (multiplicity 4)  3 Mg 3.45-3.46, 1 Tl 3.46, 8 Pm 3.52-3.78
Pm 0.1367 0.0000 0.6909 (multiplicity 4)  3 Mg 3.43-3.44, 2 Tl 3.47, 7 Pm 3.52-3.70
Pm 0.1803 0.5000 0.4338 (multiplicity 4)  1 Mg 3.38, 1 Tl 3.40, 8 Pm 3.41-3.78
Mg 0.2271 0.0000 0.1319 (multiplicity 4)  8 Pm 3.38-3.46, 2 Mg 3.58
Tl 0.0000 0.5000 0.5000 (multiplicity 2)  12 Pm 3.40-3.70

## Properties
DFT total energy in eV per atom: -4.025
Calculated volume in Å³ per cell: 682.8

***

No. 4
Material: Pm4Mg3Tl4
Method: DFT, PBE
State: optimized geometry

Unit cell a=3.4017 b=9.4812 c=19.3530 alpha=90.00 beta=90.00 gamma=90.00
With the nearest neighbours (Å) after each atom.
Space group Immm (No. 71)
One atom of each set of equivalent atoms:
Pm 0.0000 0.1833 0.1562 (multiplicity 8)  4 Tl 3.21-3.32, 3 Pm 3.40-3.48
Mg 0.0000 0.0000 0.4028 (multiplicity 4)  6 Tl 3.04-3.19
Mg 0.0000 0.5000 0.5000 (multiplicity 2)  4 Tl 3.29, 2 Mg 3.40
Tl 0.0000 0.2968 0.0000 (multiplicity 4)  6 Mg 3.19-3.29, 2 Pm 3.21, 2 Tl 3.40
Tl 0.0000 0.5000 0.2271 (multiplicity 4)  2 Mg 3.04, 6 Pm 3.30-3.32

## Properties
DFT total energy in eV per atom: -3.147
Calculated volume in Å³ per cell: 624.2